Below is a geometry-optimized Y2ScC2 structure, with properties calculated at the PBE level.

```
Y2ScC2
1.0
5.0825 0.0000 0.0000
-2.5413 5.1622 -2.3683
0.0000 0.2760 7.1045
C Sc Y
4 2 4
Cartesian
0.0000 1.9728 3.4506
0.0000 5.1630 -0.7166
2.5413 3.4654 1.2856
2.5413 0.2752 5.4527
0.0000 3.8949 4.6995
2.5413 1.5433 0.0367
2.5413 5.0956 -0.4578
0.0000 3.5563 1.4144
0.0000 0.3425 5.1940
2.5413 1.8819 3.3218
```

Results
volume: 18.97 A^3/atom
space group: C2/m (12)
E: -7.82 eV per atom
ΔE_f: -0.282 eV/atom